Record 1
Here is Er4PuPd5 after structural relaxation from Alexandria via LeMat-Bulk. Energies are from PBE-GGA.

The value obtained for the energy is -6.6722 eV/atom. The formation energy from the elements is -0.817 eV per atom.

Geometry as CIF:
```
data_Er4PuPd5
_cell_length_a 3.441
_cell_length_b 3.441
_cell_length_c 17.894
_cell_angle_alpha 90.00
_cell_angle_beta 90.00
_cell_angle_gamma 90.00
_symmetry_space_group_name_H-M 'P 4/m m m'
_symmetry_Int_Tables_number 123
_symmetry_space_group_name_Hall '-P 4 2'
loop_
_atom_site_label
_atom_site_type_symbol
_atom_site_fract_x
_atom_site_fract_y
_atom_site_fract_z
_atom_site_occupancy
Er1 Er 0.000 0.000 0.099 1
Er2 Er 0.000 0.000 0.298 1
Pu1 Pu 0.000 0.000 0.500 1
Pd1 Pd 0.500 0.500 0.000 1
Pd2 Pd 0.500 0.500 0.197 1
Pd3 Pd 0.500 0.500 0.389 1
```

---

Record 2
Here is FeNi3Pd after structural relaxation from Alexandria via LeMat-Bulk. Energies are from PBE-GGA.

As for the distance to the lowest polymorph of the same formula: 487 meV per atom. The value obtained for the energy is -5.7399 eV/atom. The formation energy from the elements is 0.460 eV per atom.

Geometry as CIF:
```
data_FeNi3Pd
_cell_length_a 3.747
_cell_length_b 13.771
_cell_length_c 5.040
_cell_angle_alpha 90.00
_cell_angle_beta 90.00
_cell_angle_gamma 90.00
_symmetry_space_group_name_H-M 'A m a 2'
_symmetry_Int_Tables_number 40
loop_
_symmetry_equiv_pos_as_xyz
'x,y,z'
'-x,-y,z'
'-x+1/2,y,z'
'x+1/2,-y,z'
'x,y+1/2,z+1/2'
'-x,-y+1/2,z+1/2'
'-x+1/2,y+1/2,z+1/2'
'x+1/2,-y+1/2,z+1/2'
loop_
_atom_site_label
_atom_site_type_symbol
_atom_site_fract_x
_atom_site_fract_y
_atom_site_fract_z
_atom_site_occupancy
Fe1 Fe 0.250 0.040 0.000 1
Ni1 Ni 0.250 0.047 0.466 1
Ni2 Ni 0.250 0.220 0.479 1
Ni3 Ni 0.250 0.371 0.734 1
Pd1 Pd 0.250 0.373 0.233 1
```

---

Record 3
Here is AcGdPdRu after structural relaxation from Alexandria via LeMat-Bulk. Energies are from PBE-GGA.

The value obtained for the energy is -8.5718 eV/atom. The formation energy from the elements is -0.407 eV per atom.

Geometry as CIF:
```
data_AcGdPdRu
_cell_length_a 7.230
_cell_length_b 7.230
_cell_length_c 7.230
_cell_angle_alpha 90.00
_cell_angle_beta 90.00
_cell_angle_gamma 90.00
_symmetry_space_group_name_H-M 'F -4 3 m'
_symmetry_Int_Tables_number 216
_symmetry_space_group_name_Hall 'F -4 2 3'
loop_
_atom_site_label
_atom_site_type_symbol
_atom_site_fract_x
_atom_site_fract_y
_atom_site_fract_z
_atom_site_occupancy
Ac1 Ac 0.000 0.000 0.000 1
Gd1 Gd 0.000 0.000 0.500 1
Pd1 Pd 0.250 0.250 0.750 1
Ru1 Ru 0.250 0.250 0.250 1
```

---

Record 4
Here is Ca2Al3CdAg4 after structural relaxation from Alexandria via LeMat-Bulk. Energies are from PBE-GGA.

The value obtained for the energy is -2.9687 eV/atom. The formation energy from the elements is -0.214 eV per atom.

Geometry as CIF:
```
data_Ca2Al3CdAg4
_cell_length_a 4.275
_cell_length_b 4.275
_cell_length_c 11.901
_cell_angle_alpha 90.00
_cell_angle_beta 90.00
_cell_angle_gamma 90.00
_symmetry_space_group_name_H-M 'P -4 m 2'
_symmetry_Int_Tables_number 115
loop_
_symmetry_equiv_pos_as_xyz
'x,y,z'
'y,-x,-z'
'-x,-y,z'
'-y,x,-z'
'-x,y,z'
'-y,-x,-z'
'x,-y,z'
'y,x,-z'
loop_
_atom_site_label
_atom_site_type_symbol
_atom_site_fract_x
_atom_site_fract_y
_atom_site_fract_z
_atom_site_occupancy
Ca1 Ca 0.000 0.500 0.244 1
Al1 Al 0.000 0.500 0.868 1
Al2 Al 0.500 0.500 0.500 1
Cd1 Cd 0.000 0.000 0.500 1
Ag1 Ag 0.000 0.000 0.000 1
Ag2 Ag 0.000 0.500 0.652 1
Ag3 Ag 0.500 0.500 0.000 1
```

---

Record 5
Here is Zn2AgIr after structural relaxation from Alexandria via LeMat-Bulk. Energies are from PBE-GGA.

The value obtained for the energy is -3.6883 eV/atom. The formation energy from the elements is -0.123 eV per atom.

Geometry as CIF:
```
data_Zn2AgIr
_cell_length_a 5.938
_cell_length_b 6.579
_cell_length_c 3.034
_cell_angle_alpha 90.00
_cell_angle_beta 90.18
_cell_angle_gamma 90.00
_symmetry_space_group_name_H-M 'C 1 2/m 1'
_symmetry_Int_Tables_number 12
loop_
_symmetry_equiv_pos_as_xyz
'x,y,z'
'-x,-y,-z'
'-x,y,-z'
'x,-y,z'
'x+1/2,y+1/2,z'
'-x+1/2,-y+1/2,-z'
'-x+1/2,y+1/2,-z'
'x+1/2,-y+1/2,z'
loop_
_atom_site_label
_atom_site_type_symbol
_atom_site_fract_x
_atom_site_fract_y
_atom_site_fract_z
_atom_site_occupancy
Zn1 Zn 0.250 0.250 0.000 1
Ag1 Ag 0.000 0.000 0.500 1
Ir1 Ir 0.000 0.500 0.500 1
```

---

Record 6
Here is RbRuSe3 after structural relaxation from Alexandria via LeMat-Bulk. Energies are from PBE-GGA.

As for the distance to the lowest polymorph of the same formula: 1988 meV per atom. The value obtained for the energy is -2.2772 eV/atom. As for the raw formation energy: 9.31 eV per formula unit.

Geometry as CIF:
```
data_RbRuSe3
_cell_length_a 5.686
_cell_length_b 5.686
_cell_length_c 5.686
_cell_angle_alpha 90.00
_cell_angle_beta 90.00
_cell_angle_gamma 90.00
_symmetry_space_group_name_H-M 'P m -3 m'
_symmetry_Int_Tables_number 221
_symmetry_space_group_name_Hall '-P 4 2 3'
loop_
_atom_site_label
_atom_site_type_symbol
_atom_site_fract_x
_atom_site_fract_y
_atom_site_fract_z
_atom_site_occupancy
Rb1 Rb 0.000 0.000 0.000 1
Ru1 Ru 0.500 0.500 0.500 1
Se1 Se 0.000 0.000 0.500 1
```

---

Repeat the third record exactly.
Here is AcGdPdRu after structural relaxation from Alexandria via LeMat-Bulk. Energies are from PBE-GGA.

The value obtained for the energy is -8.5718 eV/atom. The formation energy from the elements is -0.407 eV per atom.

Geometry as CIF:
```
data_AcGdPdRu
_cell_length_a 7.230
_cell_length_b 7.230
_cell_length_c 7.230
_cell_angle_alpha 90.00
_cell_angle_beta 90.00
_cell_angle_gamma 90.00
_symmetry_space_group_name_H-M 'F -4 3 m'
_symmetry_Int_Tables_number 216
_symmetry_space_group_name_Hall 'F -4 2 3'
loop_
_atom_site_label
_atom_site_type_symbol
_atom_site_fract_x
_atom_site_fract_y
_atom_site_fract_z
_atom_site_occupancy
Ac1 Ac 0.000 0.000 0.000 1
Gd1 Gd 0.000 0.000 0.500 1
Pd1 Pd 0.250 0.250 0.750 1
Ru1 Ru 0.250 0.250 0.250 1
```

---

Please write out number 6 again, unchanged.
Here is RbRuSe3 after structural relaxation from Alexandria via LeMat-Bulk. Energies are from PBE-GGA.

As for the distance to the lowest polymorph of the same formula: 1988 meV per atom. The value obtained for the energy is -2.2772 eV/atom. As for the raw formation energy: 9.31 eV per formula unit.

Geometry as CIF:
```
data_RbRuSe3
_cell_length_a 5.686
_cell_length_b 5.686
_cell_length_c 5.686
_cell_angle_alpha 90.00
_cell_angle_beta 90.00
_cell_angle_gamma 90.00
_symmetry_space_group_name_H-M 'P m -3 m'
_symmetry_Int_Tables_number 221
_symmetry_space_group_name_Hall '-P 4 2 3'
loop_
_atom_site_label
_atom_site_type_symbol
_atom_site_fract_x
_atom_site_fract_y
_atom_site_fract_z
_atom_site_occupancy
Rb1 Rb 0.000 0.000 0.000 1
Ru1 Ru 0.500 0.500 0.500 1
Se1 Se 0.000 0.000 0.500 1
```

---

> Which of these has the lowest energy?

AcGdPdRu